Zr2GeHF | Alexandria via LeMat-Bulk | meta-GGA SCAN | single point on PBEsol structure; energy = -87.094 eV for the cell shown; magnetization = 0.000 μB/cell
1.0
3.2225 0.0000 0.0000
0.0000 5.2029 0.0000
0.0000 0.0000 5.2029
H Ge Zr F
1 1 2 1
Direct
0.5000 0.0000 0.0000 H
0.0000 0.0000 0.0000 Ge
0.0000 0.0000 0.5000 Zr
0.0000 0.5000 0.0000 Zr
0.5000 0.5000 0.5000 F

---

Hf3GeF | Alexandria via LeMat-Bulk | meta-GGA SCAN | single point on PBEsol structure; magnetization = 0.002 μB/cell; E_form (uncorrected) = -0.493 eV per atom
1.0
-1.4427 -3.1719 -2.6637
3.3707 0.7402 -2.7071
2.4072 -2.9375 2.1942
Ge Hf F
1 3 1
Direct
0.5000 0.5000 0.5000 Ge
0.0000 0.5000 0.0000 Hf
0.0000 0.0000 0.5000 Hf
0.5000 0.0000 0.0000 Hf
0.0000 0.0000 0.0000 F

---

Hf2MnGeF | Alexandria via LeMat-Bulk | meta-GGA SCAN | single point on PBEsol structure; magnetization = 2.879 μB/cell; E_form (uncorrected) = -0.438 eV per atom
1.0
4.1857 0.0000 0.0000
0.0000 4.1857 0.0000
0.0000 0.0000 4.7935
Ge Mn Hf F
1 1 2 1
Direct
0.0000 0.0000 0.5000 Ge
0.5000 0.5000 0.5000 Mn
0.0000 0.5000 0.0000 Hf
0.5000 0.0000 0.0000 Hf
0.0000 0.0000 0.0000 F

---

Hf2NiGeF | Alexandria via LeMat-Bulk | meta-GGA SCAN | single point on PBEsol structure; magnetization = 0.003 μB/cell; E_form (uncorrected) = -0.205 eV per atom
1.0
-0.3346 2.2392 3.5347
-2.3307 -3.0446 1.7081
3.8012 -1.9980 1.6255
Ni Ge Hf F
1 1 2 1
Direct
0.5000 0.5000 0.5000 Ni
0.0000 0.0000 0.5000 Ge
0.0000 0.5000 0.0000 Hf
0.5000 0.0000 0.0000 Hf
0.0000 0.0000 0.0000 F

---

HgGe2F | Alexandria via LeMat-Bulk | meta-GGA SCAN | single point on PBEsol structure; magnetization = 0.000 μB/cell; E_form (uncorrected) = -0.271 eV per atom
1.0
4.5483 0.0000 0.0000
2.2742 3.9390 0.0000
2.2742 1.3130 3.7137
Ge Hg F
2 1 1
Direct
0.2500 0.2500 0.2500 Ge
0.7500 0.7500 0.7500 Ge
0.5000 0.5000 0.5000 Hg
0.0000 0.0000 0.0000 F

---

LaHgGeF2 | Alexandria via LeMat-Bulk | meta-GGA SCAN | single point on PBEsol structure; magnetization = 0.573 μB/cell; E_form (uncorrected) = -1.955 eV per atom
1.0
4.4059 0.0000 0.0000
0.0000 4.4059 0.0000
0.0000 0.0000 6.6932
Ge F Hg La
1 2 1 1
Direct
0.5000 0.5000 0.5000 Ge
0.0000 0.5000 0.0000 F
0.5000 0.0000 0.0000 F
0.0000 0.0000 0.5000 Hg
0.0000 0.0000 0.0000 La